1.
{"formula": "Ce2SmHo3S6", "functional": "PBE", "state": "optimized geometry", "cell": [[3.4036, -5.9005, 0.0000], [3.4036, 5.9005, 0.0000], [-2.2791, 0.0000, 6.5191]], "species": ["Ce", "Ce", "Sm", "Ho", "Ho", "Ho", "S", "S", "S", "S", "S", "S"], "fractional_positions": [[0.1665, 0.8335, 0.0000], [0.8335, 0.1665, 0.0000], [0.5000, 0.5000, 0.0000], [0.0000, 0.0000, 0.5000], [0.3349, 0.6651, 0.5000], [0.6651, 0.3349, 0.5000], [0.0792, 0.4123, 0.7367], [0.2543, 0.2543, 0.2619], [0.4123, 0.0792, 0.7367], [0.5877, 0.9208, 0.2633], [0.7457, 0.7457, 0.7381], [0.9208, 0.5877, 0.2633]], "mass_density_g_cm3": 7.09, "volume_a3_per_cell": 261.84, "magmom_total_mub_per_cell": 1.5, "dos_ef_per_ev_fu": 12.18, "e_form_raw_ev_per_atom": -2.018, "e_tot_ev_per_atom": -6.6085}

2.
{"formula": "ReRu2Pt", "functional": "PBE", "state": "optimized geometry", "cell": [[5.7159, 0.0000, 0.0000], [0.0000, 5.7159, 0.0000], [0.0000, 0.0000, 10.5684]], "species": ["Re", "Re", "Re", "Re", "Ru", "Ru", "Ru", "Ru", "Ru", "Ru", "Ru", "Ru", "Pt", "Pt", "Pt", "Pt"], "fractional_positions": [[0.0000, 0.0000, 0.0000], [0.0000, 0.5000, 0.2500], [0.5000, 0.0000, 0.7500], [0.5000, 0.5000, 0.5000], [0.2411, 0.2500, 0.1250], [0.2500, 0.7411, 0.3750], [0.2500, 0.7589, 0.8750], [0.2589, 0.2500, 0.6250], [0.7411, 0.7500, 0.6250], [0.7500, 0.2411, 0.8750], [0.7500, 0.2589, 0.3750], [0.7589, 0.7500, 0.1250], [0.0000, 0.0000, 0.5000], [0.0000, 0.5000, 0.7500], [0.5000, 0.0000, 0.2500], [0.5000, 0.5000, 0.0000]], "mass_density_g_cm3": 11.22, "volume_a3_per_cell": 345.29, "magmom_total_mub_per_cell": 0.0, "dos_ef_per_ev_fu": 2.33, "e_tot_ev_per_atom": -8.1790}

3.
{"formula": "Rb2CrBr6Cl", "functional": "PBE", "state": "optimized geometry", "cell": [[-3.8293, 3.8293, 5.8837], [3.8293, -3.8293, 5.8837], [3.8293, 3.8293, -5.8837]], "species": ["Rb", "Rb", "Cr", "Br", "Br", "Br", "Br", "Br", "Br", "Cl"], "fractional_positions": [[0.2500, 0.7500, 0.5000], [0.7500, 0.2500, 0.5000], [0.0000, 0.0000, 0.0000], [0.2093, 0.2093, 0.0000], [0.2321, 0.2321, 0.4642], [0.2321, 0.7679, 0.0000], [0.7679, 0.2321, 0.0000], [0.7679, 0.7679, 0.5358], [0.7907, 0.7907, 0.0000], [0.5000, 0.5000, 0.0000]], "mass_density_g_cm3": 3.55, "volume_a3_per_cell": 345.10, "magmom_total_mub_per_cell": 3.0, "dos_ef_per_ev_fu": 13.28, "e_form_raw_ev_per_atom": -0.880, "e_tot_ev_per_atom": -3.2245}

4.
{"formula": "TiBiP3", "functional": "PBE", "state": "optimized geometry", "cell": [[5.1110, 0.0000, 0.0000], [0.0000, 5.1110, 0.0000], [0.0000, 0.0000, 5.1110]], "species": ["Ti", "Bi", "P", "P", "P"], "fractional_positions": [[0.0000, 0.0000, 0.0000], [0.5000, 0.5000, 0.5000], [0.0000, 0.5000, 0.5000], [0.5000, 0.0000, 0.5000], [0.5000, 0.5000, 0.0000]], "mass_density_g_cm3": 4.35, "volume_a3_per_cell": 133.51, "magmom_total_mub_per_cell": 0.0, "dos_ef_per_ev_fu": 6.53, "e_tot_ev_per_atom": -4.1217}

5.
{"formula": "LiTiInCl6", "functional": "PBE", "state": "optimized geometry", "cell": [[6.5049, 0.0000, 0.0000], [-3.2524, 5.6334, 0.0000], [0.0000, 0.0000, 6.7392]], "species": ["Li", "Ti", "In", "Cl", "Cl", "Cl", "Cl", "Cl", "Cl"], "fractional_positions": [[0.0000, 0.0000, 0.0000], [0.3333, 0.6667, 0.0000], [0.6667, 0.3333, 0.5000], [0.0526, 0.3567, 0.2041], [0.0526, 0.6959, 0.7959], [0.3041, 0.3567, 0.7959], [0.3041, 0.9474, 0.2041], [0.6433, 0.6959, 0.2041], [0.6433, 0.9474, 0.7959]], "mass_density_g_cm3": 2.57, "volume_a3_per_cell": 246.96, "magmom_total_mub_per_cell": 0.0, "e_form_raw_ev_per_atom": -1.452, "e_tot_ev_per_atom": -4.0773}

6.
{"formula": "BaHf2Tl", "functional": "PBE", "state": "optimized geometry", "cell": [[7.4057, 0.0000, 0.0000], [0.0000, 7.4057, 0.0000], [0.0000, 0.0000, 7.4057]], "species": ["Ba", "Ba", "Ba", "Ba", "Hf", "Hf", "Hf", "Hf", "Hf", "Hf", "Hf", "Hf", "Tl", "Tl", "Tl", "Tl"], "fractional_positions": [[0.0000, 0.0000, 0.0000], [0.0000, 0.5000, 0.5000], [0.5000, 0.0000, 0.5000], [0.5000, 0.5000, 0.0000], [0.2500, 0.2500, 0.2500], [0.2500, 0.2500, 0.7500], [0.2500, 0.7500, 0.2500], [0.2500, 0.7500, 0.7500], [0.7500, 0.2500, 0.2500], [0.7500, 0.2500, 0.7500], [0.7500, 0.7500, 0.2500], [0.7500, 0.7500, 0.7500], [0.0000, 0.0000, 0.5000], [0.0000, 0.5000, 0.0000], [0.5000, 0.0000, 0.0000], [0.5000, 0.5000, 0.5000]], "mass_density_g_cm3": 11.43, "volume_a3_per_cell": 406.16, "magmom_total_mub_per_cell": 0.0, "dos_ef_per_ev_fu": 6.04, "e_tot_ev_per_atom": -5.3451}